Density functional theory data (PBE) for a geometry-optimized AsRu2Pt structure.

Cell lengths 4.7424, 4.7424, 4.7424 Å; angles 131.15, 131.15, 71.57 degrees
With the nearest neighbours (Å) after each atom.
Element x y z (fractional)
As1 0.0000 0.0000 0.0000  8 Ru 2.75-2.77, 4 Pt 2.75
Ru1 0.5000 0.5000 0.0000  4 Ru 2.75, 4 Pt 2.75, 4 As 2.77
Ru2 0.7500 0.2500 0.5000  4 As 2.75, 4 Ru 2.75, 4 Pt 2.77
Pt1 0.2500 0.7500 0.5000  4 As 2.75, 8 Ru 2.75-2.77

Output
DFT total energy: -7.14 eV per atom
calculated formation energy: 0.166 eV/atom
DOS at the Fermi energy: 4.1 states/eV/cell